PBE Cd2BiSbRh, optimized geometry; raw formation energy = 579 meV per atom; SG = P4/mmm; calculated total energy = -14.292 eV/cell
1.0
5.441 0.000 0.000
0.000 5.441 0.000
0.000 0.000 4.966
Cd Bi Sb Rh
2 1 1 1
Direct
0.000 0.500 0.000
0.500 0.000 0.000
0.000 0.000 0.500
0.500 0.500 0.000
0.500 0.500 0.500


PBE ScCd2BiRh, optimized geometry; SG = P4/mmm; calculated total energy = -19.712 eV/cell; ΔH_f (0 K) = -0.064 eV/atom
1.0
5.190 0.000 0.000
0.000 5.190 0.000
0.000 0.000 4.818
Sc Cd Bi Rh
1 2 1 1
Direct
0.000 0.000 0.000
0.000 0.500 0.500
0.500 0.000 0.500
0.500 0.500 0.000
0.000 0.000 0.500


PBE CdBi2RhSe, optimized geometry; raw formation energy = 482 meV per atom; SG = P4/mmm; calculated total energy = -17.103 eV/cell
1.0
5.685 0.000 0.000
0.000 5.685 0.000
0.000 0.000 4.566
Cd Bi Rh Se
1 2 1 1
Direct
0.000 0.000 0.000
0.000 0.500 0.500
0.500 0.000 0.500
0.500 0.500 0.000
0.500 0.500 0.500


PBE SmCdBiRh, optimized geometry; SG = F-43m; calculated total energy = -18.136 eV/cell; ΔH_f (0 K) = -0.317 eV/atom
1.0
0.000 3.585 3.585
3.585 0.000 3.585
3.585 3.585 0.000
Sm Cd Bi Rh
1 1 1 1
Direct
0.000 0.000 0.000
0.750 0.750 0.750
0.500 0.500 0.500
0.250 0.250 0.250


PBE Sr2CdBi3Rh4, optimized geometry; SG = P-4m2; calculated total energy = -49.366 eV/cell; ΔH_f (0 K) = -0.404 eV/atom
1.0
4.577 0.000 0.000
0.000 4.577 0.000
0.000 0.000 11.400
Sr Cd Bi Rh
2 1 3 4
Direct
0.000 0.500 0.247
0.500 0.000 0.753
0.500 0.500 0.000
0.000 0.000 0.000
0.000 0.500 0.631
0.500 0.000 0.369
0.000 0.000 0.500
0.000 0.500 0.865
0.500 0.000 0.135
0.500 0.500 0.500


PBE SrCd2BiRh, optimized geometry; SG = P4/mmm; calculated total energy = -15.889 eV/cell; ΔH_f (0 K) = -0.229 eV/atom
1.0
5.214 0.000 0.000
0.000 5.214 0.000
0.000 0.000 5.304
Sr Cd Bi Rh
1 2 1 1
Direct
0.000 0.000 0.000
0.000 0.500 0.500
0.500 0.000 0.500
0.500 0.500 0.000
0.500 0.500 0.500


PBE SrCd2BiRh2, optimized geometry; SG = P4/mmm; calculated total energy = -22.044 eV/cell; ΔH_f (0 K) = 0.009 eV/atom
1.0
5.073 0.000 0.000
0.000 5.073 0.000
0.000 0.000 6.270
Sr Cd Bi Rh
1 2 1 2
Direct
0.000 0.000 0.000
0.500 0.500 0.255
0.500 0.500 0.745
0.000 0.000 0.500
0.000 0.500 0.500
0.500 0.000 0.500


PBE Zn2CdBiRh, optimized geometry; SG = P4/mmm; calculated total energy = -8.535 eV/cell; ΔH_f (0 K) = 1.232 eV/atom
1.0
5.150 0.000 0.000
0.000 5.150 0.000
0.000 0.000 5.672
Zn Cd Bi Rh
2 1 1 1
Direct
0.000 0.500 0.000
0.500 0.000 0.000
0.000 0.000 0.500
0.000 0.000 0.000
0.500 0.500 0.500


PBE CdBi2Ru, optimized geometry; SG = R-3m; calculated total energy = -15.273 eV/cell; ΔH_f (0 K) = 0.670 eV/atom
1.0
1.606 0.927 11.671
-1.606 0.927 11.671
0.000 -1.855 11.671
Cd Bi Ru
1 2 1
Direct
0.000 0.000 0.000
0.425 0.425 0.425
0.575 0.575 0.575
0.500 0.500 0.500


PBE CdBi2Ru, optimized geometry; SG = I-42d; calculated total energy = -31.756 eV/cell; ΔH_f (0 K) = 0.519 eV/atom
1.0
-3.261 3.261 6.366
3.261 -3.261 6.366
3.261 3.261 -6.366
Cd Bi Ru
2 4 2
Direct
0.000 0.000 0.000
0.750 0.250 0.500
0.178 0.625 0.053
0.375 0.428 0.553
0.572 0.125 0.947
0.875 0.822 0.447
0.250 0.750 0.500
0.500 0.500 0.000


PBE Cd3BiRu, optimized geometry; SG = Pm-3m; calculated total energy = -12.781 eV/cell; ΔH_f (0 K) = 0.624 eV/atom
1.0
5.178 0.000 0.000
0.000 5.178 0.000
0.000 0.000 5.178
Cd Bi Ru
3 1 1
Direct
0.000 0.000 0.500
0.000 0.500 0.000
0.500 0.000 0.000
0.500 0.500 0.500
0.000 0.000 0.000


PBE CdBiRu2, optimized geometry; SG = I-42d; calculated total energy = -39.730 eV/cell; ΔH_f (0 K) = 0.871 eV/atom
1.0
-3.718 3.718 2.906
3.718 -3.718 2.906
3.718 3.718 -2.906
Cd Bi Ru
2 2 4
Direct
0.000 0.000 0.000
0.750 0.250 0.500
0.250 0.750 0.500
0.500 0.500 0.000
0.135 0.625 0.010
0.375 0.385 0.510
0.615 0.125 0.990
0.875 0.865 0.490


PBE Cd2BiRu, optimized geometry; SG = I4_1/amd; calculated total energy = -26.971 eV/cell; ΔH_f (0 K) = 0.375 eV/atom
1.0
-5.232 5.232 2.550
5.232 -5.232 2.550
5.232 5.232 -2.550
Cd Bi Ru
4 2 2
Direct
0.000 0.000 0.000
0.000 0.000 0.500
0.000 0.500 0.000
0.500 0.000 0.500
0.375 0.625 0.750
0.625 0.375 0.250
0.125 0.875 0.250
0.875 0.125 0.750


PBE CdBi3Ru, optimized geometry; SG = Pm-3m; calculated total energy = -19.707 eV/cell; ΔH_f (0 K) = 0.425 eV/atom
1.0
5.326 0.000 0.000
0.000 5.326 0.000
0.000 0.000 5.326
Cd Bi Ru
1 3 1
Direct
0.000 0.000 0.000
0.000 0.500 0.500
0.500 0.000 0.500
0.500 0.500 0.000
0.500 0.500 0.500


PBE CdBiRu2, optimized geometry; SG = Fm-3m; calculated total energy = -21.878 eV/cell; ΔH_f (0 K) = 0.367 eV/atom
1.0
0.000 3.285 3.285
3.285 0.000 3.285
3.285 3.285 0.000
Cd Bi Ru
1 1 2
Direct
0.000 0.000 0.000
0.500 0.500 0.500
0.250 0.250 0.250
0.750 0.750 0.750


PBE YCdBi2Ru, optimized geometry; SG = P4/mmm; calculated total energy = -18.058 eV/cell; ΔH_f (0 K) = 1.272 eV/atom
1.0
5.413 0.000 0.000
0.000 5.413 0.000
0.000 0.000 5.566
Y Cd Bi Ru
1 1 2 1
Direct
0.000 0.000 0.000
0.000 0.000 0.500
0.000 0.500 0.500
0.500 0.000 0.500
0.500 0.500 0.000


PBE ZnCdBiRu2, optimized geometry; SG = P4/mmm; calculated total energy = -15.556 eV/cell; ΔH_f (0 K) = 1.813 eV/atom
1.0
5.023 0.000 0.000
0.000 5.023 0.000
0.000 0.000 5.423
Zn Cd Bi Ru
1 1 1 2
Direct
0.000 0.000 0.000
0.500 0.500 0.500
0.500 0.500 0.000
0.000 0.500 0.500
0.500 0.000 0.500


PBE CdBiS2, optimized geometry; raw formation energy = -234 meV per atom; SG = Pm; calculated total energy = -13.986 eV/cell
1.0
3.855 0.000 0.000
0.000 5.533 0.000
-1.486 0.000 4.911
Cd Bi S
1 1 2
Direct
0.000 0.000 0.000
0.670 0.500 0.410
0.656 0.000 0.385
0.978 0.500 0.943


PBE Cd3BiS, optimized geometry; raw formation energy = 190 meV per atom; SG = Pm-3m; calculated total energy = -9.803 eV/cell
1.0
5.171 0.000 0.000
0.000 5.171 0.000
0.000 0.000 5.171
Cd Bi S
3 1 1
Direct
0.000 0.000 0.500
0.000 0.500 0.000
0.500 0.000 0.000
0.500 0.500 0.500
0.000 0.000 0.000


PBE CdBi2S, optimized geometry; raw formation energy = 174 meV per atom; SG = Fm-3m; calculated total energy = -12.109 eV/cell
1.0
0.000 3.710 3.710
3.710 0.000 3.710
3.710 3.710 0.000
Cd Bi S
1 2 1
Direct
0.000 0.000 0.000
0.250 0.250 0.250
0.750 0.750 0.750
0.500 0.500 0.500


PBE CdBi2S4, optimized geometry; raw formation energy = -417 meV per atom; SG = Fd-3m; calculated total energy = -56.208 eV/cell
1.0
0.000 5.778 5.778
5.778 0.000 5.778
5.778 5.778 0.000
Cd Bi S
2 4 8
Direct
0.125 0.125 0.125
0.875 0.875 0.875
0.000 0.500 0.500
0.500 0.000 0.500
0.500 0.500 0.000
0.500 0.500 0.500
0.255 0.255 0.255
0.255 0.255 0.736
0.255 0.736 0.255
0.264 0.745 0.745
0.736 0.255 0.255
0.745 0.264 0.745
0.745 0.745 0.264
0.745 0.745 0.745


PBE CdBi3S6, optimized geometry; raw formation energy = 52 meV per atom; SG = Fmmm; calculated total energy = -36.799 eV/cell
1.0
0.000 5.340 5.389
4.560 0.000 5.389
4.560 5.340 0.000
Cd Bi S
1 3 6
Direct
0.000 0.000 0.000
0.250 0.250 0.250
0.500 0.500 0.500
0.750 0.750 0.750
0.105 0.625 0.895
0.247 0.753 0.247
0.375 0.895 0.625
0.625 0.105 0.375
0.753 0.247 0.753
0.895 0.375 0.105


PBE CdBi3S, optimized geometry; raw formation energy = 901 meV per atom; SG = Pm-3m; calculated total energy = -12.183 eV/cell
1.0
5.630 0.000 0.000
0.000 5.630 0.000
0.000 0.000 5.630
Cd Bi S
1 3 1
Direct
0.000 0.000 0.000
0.000 0.000 0.500
0.000 0.500 0.000
0.500 0.000 0.000
0.500 0.500 0.500


PBE CdBi3S, optimized geometry; raw formation energy = 415 meV per atom; SG = Pm-3m; calculated total energy = -14.612 eV/cell
1.0
5.432 0.000 0.000
0.000 5.432 0.000
0.000 0.000 5.432
Cd Bi S
1 3 1
Direct
0.000 0.000 0.000
0.000 0.500 0.500
0.500 0.000 0.500
0.500 0.500 0.000
0.500 0.500 0.500


PBE CdBiS, optimized geometry; raw formation energy = -121 meV per atom; SG = C2/m; calculated total energy = -18.572 eV/cell
1.0
8.500 -2.008 0.000
8.500 2.008 0.000
-1.313 0.000 5.182
Cd Bi S
2 2 2
Direct
0.156 0.156 0.061
0.844 0.844 0.939
0.435 0.435 0.673
0.565 0.565 0.327
0.321 0.321 0.238
0.679 0.679 0.762


PBE CdBiS2, optimized geometry; raw formation energy = -110 meV per atom; SG = R-3m; calculated total energy = -13.491 eV/cell
1.0
1.908 1.102 8.320
-1.908 1.102 8.320
0.000 -2.203 8.320
Cd Bi S
1 1 2
Direct
0.000 0.000 0.000
0.500 0.500 0.500
0.393 0.393 0.393
0.607 0.607 0.607


PBE CdBi3S6, optimized geometry; raw formation energy = -271 meV per atom; SG = R3; calculated total energy = -40.031 eV/cell
1.0
3.525 2.035 6.226
-3.525 2.035 6.226
0.000 -4.070 6.226
Cd Bi S
1 3 6
Direct
0.000 0.000 0.000
0.291 0.291 0.291
0.491 0.491 0.491
0.794 0.794 0.794
0.099 0.377 0.692
0.194 0.876 0.613
0.377 0.692 0.099
0.613 0.194 0.876
0.692 0.099 0.377
0.876 0.613 0.194